(1)
Entry from Alexandria: Ca2CoRh after structural relaxation (PBE).

a = 4.184 Å, b = 4.386 Å, c = 5.531 Å
α = 66.66°, β = 90.00°, γ = 90.00°
Site moments in Bohr magnetons follow the coordinates.
Atoms (fractional coordinates):
Ca  0.500  0.268  0.338  -0.03
Rh  0.500  0.576  0.723  0.28
Co  0.000  0.674  0.528  1.17
Ca  0.000  0.982  0.911  -0.03

Computed properties:
- Calculated density: 4.31 Mg/m³
- E: -4.72 eV per atom
- Density of states at the Fermi level: 3.7 states/eV/f.u.
- Magnetic moment: 1.250 μB/cell
- Volume: 23.3 A^3/atom

(2)
Entry from Alexandria: CaCo2Rh after structural relaxation (PBE).

a = 4.423 Å, b = 4.423 Å, c = 4.423 Å
α = 60.00°, β = 60.00°, γ = 60.00°
Site moments in Bohr magnetons follow the coordinates.
Atoms (fractional coordinates):
Co  0.750  0.750  0.750  1.69
Ca  0.000  0.000  0.000  -0.08
Co  0.250  0.250  0.250  1.69
Rh  0.500  0.500  0.500  0.82

Computed properties:
- Calculated density: 7.08 Mg/m³
- E: -5.58 eV per atom
- Density of states at the Fermi level: 7.1 states/eV/f.u.
- Magnetic moment: 3.946 μB/cell
- Volume: 15.3 A^3/atom

(3)
Entry from Alexandria: CaCo2Rh after structural relaxation (PBE).

a = 4.172 Å, b = 2.800 Å, c = 5.724 Å
α = 74.53°, β = 90.00°, γ = 90.00°
Site moments in Bohr magnetons follow the coordinates.
Atoms (fractional coordinates):
Co  0.000  0.481  0.437  1.66
Ca  0.500  0.750  0.750  -0.10
Co  0.000  0.019  0.063  1.66
Rh  0.500  0.250  0.250  0.64

Computed properties:
- Calculated density: 6.72 Mg/m³
- E: -5.59 eV per atom
- Density of states at the Fermi level: 6.3 states/eV/f.u.
- Magnetic moment: 3.640 μB/cell
- Volume: 16.1 A^3/atom

(4)
Entry from Alexandria: CaCoRh after structural relaxation (PBE).

a = 5.608 Å, b = 5.608 Å, c = 3.287 Å
α = 72.96°, β = 72.96°, γ = 34.08°
Site moments in Bohr magnetons follow the coordinates.
Atoms (fractional coordinates):
Co  0.290  0.290  0.710  1.66
Rh  0.709  0.709  0.291  0.44
Ca  0.001  0.001  0.999  -0.04

Computed properties:
- Calculated density: 6.08 Mg/m³
- E: -5.44 eV per atom
- Density of states at the Fermi level: 3.2 states/eV/f.u.
- Magnetic moment: 1.971 μB/cell
- Volume: 18.4 A^3/atom

(5)
Entry from Alexandria: CaCo2Rh after structural relaxation (PBE).

a = 5.159 Å, b = 5.072 Å, c = 2.755 Å
α = 80.84°, β = 77.24°, γ = 116.66°
Site moments in Bohr magnetons follow the coordinates.
Atoms (fractional coordinates):
Ca  0.500  0.500  0.000  -0.11
Co  0.000  0.000  0.000  1.64
Rh  0.000  0.500  0.500  0.49
Co  0.500  0.000  0.500  1.64

Computed properties:
- Calculated density: 7.22 Mg/m³
- E: -5.54 eV per atom
- Density of states at the Fermi level: 4.7 states/eV/f.u.
- Magnetic moment: 3.432 μB/cell
- Volume: 15.0 A^3/atom

(6)
Entry from Alexandria: CaCo2Rh after structural relaxation (PBE).

a = 4.161 Å, b = 4.161 Å, c = 5.498 Å
α = 67.69°, β = 67.69°, γ = 60.01°
Site moments in Bohr magnetons follow the coordinates.
Atoms (fractional coordinates):
Co  0.938  0.938  0.186  1.35
Co  0.562  0.562  0.314  1.35
Ca  0.750  0.750  0.750  -0.06
Rh  0.250  0.250  0.250  0.42

Computed properties:
- Calculated density: 5.84 Mg/m³
- E: -5.85 eV per atom
- Density of states at the Fermi level: 3.0 states/eV/f.u.
- Magnetic moment: 2.884 μB/cell
- Volume: 18.5 A^3/atom

(7)
Entry from Alexandria: CaCoRh3 after structural relaxation (PBE).

a = 4.553 Å, b = 4.553 Å, c = 4.553 Å
α = 90.00°, β = 90.00°, γ = 90.00°
Site moments in Bohr magnetons follow the coordinates.
Atoms (fractional coordinates):
Co  0.000  0.000  0.000  1.74
Rh  0.000  0.000  0.500  0.94
Rh  0.500  0.000  0.000  0.37
Rh  0.000  0.500  0.000  0.61
Ca  0.500  0.500  0.500  -0.02

Computed properties:
- Calculated density: 7.17 Mg/m³
- E: -5.87 eV per atom
- Density of states at the Fermi level: 4.9 states/eV/f.u.
- Magnetic moment: 3.569 μB/cell
- Energy above the most stable polymorph in this dataset: 0.00 eV/f.u.
- Volume: 18.9 A^3/atom

(8)
Entry from Alexandria: CaCo2Rh after structural relaxation (PBE).

a = 3.039 Å, b = 3.038 Å, c = 6.844 Å
α = 90.00°, β = 90.00°, γ = 90.00°
Site moments in Bohr magnetons follow the coordinates.
Atoms (fractional coordinates):
Ca  0.500  0.500  0.750  -0.06
Rh  0.000  0.000  0.449  0.44
Co  0.000  0.000  0.073  1.63
Co  0.500  0.500  0.228  1.90

Computed properties:
- Calculated density: 6.86 Mg/m³
- E: -5.75 eV per atom
- Density of states at the Fermi level: 3.6 states/eV/f.u.
- Magnetic moment: 3.739 μB/cell
- Volume: 15.8 A^3/atom

(9)
Entry from Alexandria: Ca2CoRh after structural relaxation (PBE).

a = 8.735 Å, b = 8.735 Å, c = 8.735 Å
α = 22.14°, β = 22.14°, γ = 22.14°
Site moments in Bohr magnetons follow the coordinates.
Atoms (fractional coordinates):
Ca  0.001  0.001  0.001  -0.05
Rh  0.750  0.750  0.750  -0.01
Ca  0.499  0.499  0.499  -0.05
Co  0.250  0.250  0.250  1.40

Computed properties:
- Calculated density: 4.84 Mg/m³
- E: -4.31 eV per atom
- Density of states at the Fermi level: 2.0 states/eV/f.u.
- Magnetic moment: 1.054 μB/cell
- Volume: 20.8 A^3/atom

(10)
Entry from Alexandria: CaCo2Rh after structural relaxation (PBE).

a = 5.291 Å, b = 5.291 Å, c = 5.291 Å
α = 147.21°, β = 128.43°, γ = 62.47°
Site moments in Bohr magnetons follow the coordinates.
Atoms (fractional coordinates):
Co  0.762  0.262  0.500  1.67
Co  0.962  0.962  0.000  1.86
Rh  0.529  0.529  0.000  0.64
Ca  0.247  0.747  0.500  -0.07

Computed properties:
- Calculated density: 6.96 Mg/m³
- E: -5.66 eV per atom
- Density of states at the Fermi level: 4.1 states/eV/f.u.
- Magnetic moment: 3.979 μB/cell
- Volume: 15.5 A^3/atom

(11)
Entry from Alexandria: CaCo2Rh after structural relaxation (PBE).

a = 4.163 Å, b = 4.163 Å, c = 9.265 Å
α = 77.02°, β = 77.02°, γ = 90.00°
Site moments in Bohr magnetons follow the coordinates.
Atoms (fractional coordinates):
Ca  0.250  0.750  0.500  -0.04
Co  0.875  0.016  0.750  1.83
Co  0.766  0.125  0.250  1.65
Co  0.375  0.234  0.750  1.89
Ca  0.500  0.500  0.000  -0.04
Rh  0.000  0.000  0.000  0.55
Rh  0.750  0.250  0.500  0.54
Co  0.984  0.625  0.250  1.65

Computed properties:
- Calculated density: 5.69 Mg/m³
- E: -5.44 eV per atom
- Density of states at the Fermi level: 6.2 states/eV/f.u.
- Magnetic moment: 7.800 μB/cell
- Volume: 19.0 A^3/atom

(12)
Entry from Alexandria: CaCoRh after structural relaxation (PBE).

a = 3.060 Å, b = 3.060 Å, c = 6.559 Å
α = 90.00°, β = 90.00°, γ = 120.00°
Site moments in Bohr magnetons follow the coordinates.
Atoms (fractional coordinates):
Rh  0.333  0.667  0.641  0.70
Co  0.667  0.333  0.364  1.91
Ca  0.000  0.000  0.995  -0.08

Computed properties:
- Calculated density: 6.30 Mg/m³
- E: -5.01 eV per atom
- Density of states at the Fermi level: 3.6 states/eV/f.u.
- Magnetic moment: 2.396 μB/cell
- Volume: 17.7 A^3/atom

(13)
Entry from Alexandria: CaCoRh after structural relaxation (PBE).

a = 4.331 Å, b = 4.331 Å, c = 4.331 Å
α = 60.00°, β = 60.00°, γ = 60.00°
Site moments in Bohr magnetons follow the coordinates.
Atoms (fractional coordinates):
Co  0.750  0.750  0.750  1.65
Ca  0.500  0.500  0.500  -0.04
Rh  0.000  0.000  0.000  0.68

Computed properties:
- Calculated density: 5.84 Mg/m³
- E: -5.16 eV per atom
- Density of states at the Fermi level: 2.9 states/eV/f.u.
- Magnetic moment: 2.199 μB/cell
- Volume: 19.1 A^3/atom

(14)
Entry from Alexandria: CaCo3Rh after structural relaxation (PBE).

a = 4.354 Å, b = 4.354 Å, c = 4.354 Å
α = 90.00°, β = 90.00°, γ = 90.00°
Site moments in Bohr magnetons follow the coordinates.
Atoms (fractional coordinates):
Co  0.000  0.000  0.500  1.34
Co  0.000  0.500  0.000  1.49
Rh  0.500  0.500  0.500  0.84
Ca  0.000  0.000  0.000  -0.15
Co  0.500  0.000  0.000  1.82

Computed properties:
- Calculated density: 6.43 Mg/m³
- E: -4.21 eV per atom
- Density of states at the Fermi level: 7.8 states/eV/f.u.
- Magnetic moment: 5.212 μB/cell
- Energy above the most stable polymorph in this dataset: 6.02 eV/f.u.
- Volume: 16.5 A^3/atom

(15)
Entry from Alexandria: Ca2CoRh after structural relaxation (PBE).

a = 5.961 Å, b = 5.961 Å, c = 5.961 Å
α = 146.64°, β = 132.98°, γ = 58.87°
Site moments in Bohr magnetons follow the coordinates.
Atoms (fractional coordinates):
Rh  0.711  0.211  0.500  0.39
Ca  0.267  0.767  0.500  -0.04
Co  0.540  0.540  0.000  1.55
Ca  0.982  0.982  0.000  -0.06

Computed properties:
- Calculated density: 4.76 Mg/m³
- E: -4.59 eV per atom
- Density of states at the Fermi level: 4.8 states/eV/f.u.
- Magnetic moment: 1.639 μB/cell
- Volume: 21.1 A^3/atom